1.
Computed, not measured: an optimized crystal structure of Pm3AgH at the PBE-GGA level of DFT.

```
5
Lattice="4.936 0.000 0.000 0.000 4.936 0.000 0.000 0.000 4.936" Properties=species:S:1:pos:R:3 pbc="T T T"
H 0.000 0.000 0.000
Pm 0.000 2.468 0.000
Ag 2.468 2.468 2.468
Pm 0.000 0.000 2.468
Pm 2.468 0.000 0.000
```

* raw total energy: -4.2315 eV per atom
* space group: Pm-3m (221)

=====

2.
Computed, not measured: an optimized crystal structure of PmAgH at the PBE-GGA level of DFT.

```
6
Lattice="-3.107 0.145 2.149 1.768 -1.984 2.689 2.464 6.434 3.126" Properties=species:S:1:pos:R:3 pbc="T T T"
H 0.897 2.757 2.773
H 0.228 1.838 5.192
Ag -1.664 0.199 2.569
Pm 1.348 0.636 3.568
Pm -0.223 3.960 4.397
Ag 2.789 4.397 5.396
```

* offset from the most stable computed form: 0 meV per atom
* raw total energy: -4.0964 eV per atom
* space group: P4/nmm (129)

=====

3.
Computed, not measured: an optimized crystal structure of Pm4Ag2H at the PBE-GGA level of DFT.

```
7
Lattice="4.806 0.000 0.000 0.000 4.806 0.000 -2.403 -2.403 7.775" Properties=species:S:1:pos:R:3 pbc="T T T"
Ag 2.403 2.403 2.028
Pm 2.403 2.403 4.926
Pm 0.000 0.000 2.849
Ag 0.000 0.000 5.747
Pm 0.000 2.403 0.000
Pm 2.403 0.000 0.000
H 0.000 0.000 0.000
```

* raw total energy: -4.1732 eV per atom
* space group: I4/mmm (139)

=====

4.
Computed, not measured: an optimized crystal structure of PmAgH at the PBE-GGA level of DFT.

```
6
Lattice="0.133 2.214 -4.447 -3.150 -2.108 3.214 -1.069 6.419 3.164" Properties=species:S:1:pos:R:3 pbc="T T T"
H -1.731 1.717 0.069
H -2.355 4.808 1.861
Pm -0.535 3.210 1.582
Ag -3.066 3.872 3.520
Ag -1.019 2.653 -1.590
Pm 0.000 0.000 0.000
```

* offset from the most stable computed form: 307 meV per atom
* raw total energy: -3.7890 eV per atom
* space group: Cmcm (63)

=====

5.
Computed, not measured: an optimized crystal structure of Pm2AgH12Rh3 at the PBE-GGA level of DFT.

```
18
Lattice="-5.662 1.658 -1.467 -3.301 -3.760 -3.453 -4.634 -2.967 2.585" Properties=species:S:1:pos:R:3 pbc="T T T"
H -6.149 -3.637 -2.591
H -10.359 -2.652 -0.398
H -9.230 -5.244 -1.349
H -3.237 -2.417 -1.937
Pm -8.377 -3.123 -1.439
Rh -1.651 -1.880 -1.727
H -7.448 -1.432 0.256
Rh -2.831 0.829 -0.734
H -6.857 -3.216 0.620
H -9.722 -3.032 -3.287
Pm -5.220 -1.946 -0.897
H -7.404 -0.756 -1.535
H -6.739 -1.853 -2.956
Rh -2.317 -1.484 1.293
H -4.367 0.175 -0.987
H -3.875 -2.038 0.952
H -6.193 -4.313 -0.801
Ag 0.000 0.000 0.000
```

* raw total energy: -4.3689 eV per atom
* space group: R-3m (166)

=====

6.
Computed, not measured: an optimized crystal structure of PmAgH6Rh at the PBE-GGA level of DFT.

```
9
Lattice="4.775 0.000 0.000 2.388 4.136 0.000 0.000 0.000 4.366" Properties=species:S:1:pos:R:3 pbc="T T T"
H 1.328 1.992 3.389
H 1.327 1.989 0.978
H 3.449 1.989 3.389
Rh 2.388 1.378 2.183
H 2.389 0.154 0.978
Ag 4.775 2.757 2.183
Pm 4.775 0.000 4.366
H 3.447 1.992 0.978
H 2.386 0.154 3.389
```

* raw total energy: -4.1342 eV per atom
* space group: P-6m2 (187)

=====

7.
Computed, not measured: an optimized crystal structure of Pm2AgH6Rh2 at the PBE-GGA level of DFT.

```
11
Lattice="4.906 0.000 0.000 2.453 4.248 0.000 2.453 1.416 6.120" Properties=species:S:1:pos:R:3 pbc="T T T"
H 3.700 3.528 1.911
Pm 2.453 1.416 1.927
H 4.906 1.440 1.911
Pm 7.358 4.248 4.193
H 6.111 3.528 1.911
H 6.111 2.136 4.209
H 3.700 2.136 4.209
Rh 4.906 2.832 5.199
Rh 4.906 2.832 0.921
Ag 0.000 0.000 0.000
H 4.906 4.225 4.209
```

* raw total energy: -4.6495 eV per atom
* space group: R-3m (166)

=====

8.
Computed, not measured: an optimized crystal structure of PmAgH8Rh4 at the PBE-GGA level of DFT.

```
14
Lattice="-5.258 -1.890 0.946 -1.481 -5.210 -1.667 -0.859 -4.112 3.982" Properties=species:S:1:pos:R:3 pbc="T T T"
Ag -6.728 -7.113 -0.690
Rh -4.355 -4.905 -0.064
Rh -0.423 -2.015 1.948
H -5.410 -5.603 3.053
H -5.000 -6.337 0.823
H -3.102 -7.632 1.456
H -2.729 -5.521 0.415
H -4.360 -4.088 1.543
Rh -3.102 -2.978 2.431
Pm -3.285 -6.252 3.194
H -1.777 -2.957 1.187
Rh -1.177 -4.670 1.099
H -2.197 -4.448 2.475
H -5.738 -8.358 2.323
```

* raw total energy: -4.7290 eV per atom
* space group: R3m (160)

=====

9.
Computed, not measured: an optimized crystal structure of PmAgH6Ru at the PBE-GGA level of DFT.

```
9
Lattice="-2.968 -3.771 0.397 1.736 -4.305 1.282 -0.673 0.969 4.167" Properties=species:S:1:pos:R:3 pbc="T T T"
H 0.535 -1.979 1.541
H -1.147 -3.097 4.041
H -1.843 -1.213 3.491
Ag -1.158 -4.899 3.202
Pm -1.905 -7.107 5.845
Ru -0.747 -2.206 2.643
H 0.185 -1.503 3.886
H -0.701 -3.645 1.730
H -1.512 -1.810 1.172
```

* raw total energy: -4.2825 eV per atom
* space group: P312 (149)

=====

10.
Computed, not measured: an optimized crystal structure of PrAgH at the PBE-GGA level of DFT.

```
3
Lattice="-3.280 0.859 -0.693 -0.982 -3.263 0.603 1.387 2.336 4.970" Properties=species:S:1:pos:R:3 pbc="T T T"
Pr -2.473 -0.680 2.220
H -0.365 0.557 2.416
Ag -0.037 0.056 0.244
```

* offset from the most stable computed form: 94 meV per atom
* raw total energy: -3.7348 eV per atom
* space group: I4mm (107)

=====

11.
Computed, not measured: an optimized crystal structure of PrAgH at the PBE-GGA level of DFT.

```
6
Lattice="1.657 -4.718 0.000 1.657 4.718 0.000 0.000 0.000 7.403" Properties=species:S:1:pos:R:3 pbc="T T T"
H 1.657 -0.134 1.851
H 1.657 0.134 5.552
Ag 1.657 -2.166 1.851
Pr 0.000 0.000 0.000
Ag 1.657 2.166 5.552
Pr 0.000 0.000 3.702
```

* offset from the most stable computed form: 37 meV per atom
* raw total energy: -3.7911 eV per atom
* space group: Cmcm (63)

=====

12.
Computed, not measured: an optimized crystal structure of Pr3AgH at the PBE-GGA level of DFT.

```
5
Lattice="-1.348 -2.419 4.186 -2.262 -3.525 -2.765 4.273 -2.629 -0.143" Properties=species:S:1:pos:R:3 pbc="T T T"
Ag 0.331 -4.287 0.639
Pr 2.136 -1.315 -0.071
H 0.000 0.000 0.000
Pr -0.674 -1.209 2.093
Pr -1.131 -1.763 -1.383
```

* raw total energy: -4.2412 eV per atom
* space group: Pm-3m (221)